[1]
Here is an optimized crystal structure of PrCd10Ag2 from the Alexandria database. Energies are from PBE-GGA.

extended XYZ file:
```
13
Lattice="5.7927 0.0000 0.0000 2.8367 7.0668 0.0000 2.8326 0.0119 7.0885" Properties=species:S:1:pos:R:3 pbc="T T T"
Pr 0.0000 0.0000 0.0000
Cd 1.4163 0.0060 3.5443
Cd 2.8410 4.5498 2.4293
Cd 2.8630 1.5391 1.4873
Cd 5.7127 4.5546 4.6593
Cd 5.7282 1.5462 5.6013
Cd 4.3126 0.0060 3.5443
Cd 5.7337 5.5325 1.4873
Cd 5.7493 2.5241 2.4292
Cd 8.5989 5.5396 5.6013
Cd 8.6210 2.5289 4.6593
Ag 1.4183 3.5334 0.0000
Ag 4.3147 3.5334 0.0000
```

Computed properties:
Its raw total energy is -21.379 eV/cell. The size of the total moment comes out at 0.00 μB/cell. The calculated formation energy comes out at -134 meV per atom.



[2]
Here is an optimized crystal structure of Pr4Cd2Ag from the Alexandria database. Energies are from PBE-GGA.

extended XYZ file:
```
7
Lattice="8.0200 -1.8268 0.0000 8.0200 1.8268 0.0000 -3.6312 0.0000 7.3507" Properties=species:S:1:pos:R:3 pbc="T T T"
Pr 0.6351 0.0000 1.6262
Pr 5.4540 0.0000 1.0025
Pr 6.9548 0.0000 6.3481
Pr 11.7736 0.0000 5.7245
Cd 1.1995 0.0000 4.7825
Cd 11.2093 0.0000 2.5681
Ag -1.8156 0.0000 3.6753
```

Computed properties:
Its raw total energy is -24.455 eV/cell. The size of the total moment comes out at 0.00 μB/cell. The calculated formation energy comes out at -94 meV per atom. For the energy relative to the lowest polymorph listed for this composition, the calculation gives 37 meV/atom.



[3]
Here is an optimized crystal structure of PrCd6Ag2 from the Alexandria database. Energies are from PBE-GGA.

extended XYZ file:
```
18
Lattice="7.9452 -5.4719 0.0000 7.9452 5.4719 0.0000 0.0000 0.0000 4.8628" Properties=species:S:1:pos:R:3 pbc="T T T"
Pr 7.9452 3.3294 3.6471
Pr 7.9452 -3.3294 1.2157
Cd 1.8527 0.8490 3.6471
Cd 3.4721 1.8062 1.2157
Cd 1.8527 -0.8490 1.2157
Cd 6.5171 1.5193 1.2157
Cd 3.4721 -1.8062 3.6471
Cd 9.3732 1.5193 1.2157
Cd 6.5171 -1.5193 3.6471
Cd 12.4182 1.8062 1.2157
Cd 9.3732 -1.5193 3.6471
Cd 14.0376 0.8490 3.6471
Cd 12.4182 -1.8062 3.6471
Cd 14.0376 -0.8490 1.2157
Ag 5.0110 0.8696 3.6471
Ag 5.0110 -0.8696 1.2157
Ag 10.8793 0.8696 3.6471
Ag 10.8793 -0.8696 1.2157
```

Computed properties:
Its raw total energy is -34.243 eV/cell. The size of the total moment comes out at 0.00 μB/cell. The calculated formation energy comes out at -128 meV per atom. For the energy relative to the lowest polymorph listed for this composition, the calculation gives 0 meV/atom.



[4]
Here is an optimized crystal structure of Pr12Cd3Ag from the Alexandria database. Energies are from PBE-GGA.

extended XYZ file:
```
16
Lattice="5.0154 0.0000 0.0000 0.0000 5.0154 0.0000 0.0000 0.0000 20.0824" Properties=species:S:1:pos:R:3 pbc="T T T"
Pr 0.0000 0.0000 0.0000
Pr 0.0000 0.0000 4.9785
Pr 0.0000 0.0000 10.0412
Pr 0.0000 0.0000 15.1039
Pr 0.0000 2.5077 2.4755
Pr 0.0000 2.5077 7.5186
Pr 0.0000 2.5077 12.5638
Pr 0.0000 2.5077 17.6069
Pr 2.5077 0.0000 2.4755
Pr 2.5077 0.0000 7.5186
Pr 2.5077 0.0000 12.5638
Pr 2.5077 0.0000 17.6069
Cd 2.5077 2.5077 5.0014
Cd 2.5077 2.5077 10.0412
Cd 2.5077 2.5077 15.0810
Ag 2.5077 2.5077 0.0000
```

Computed properties:
Its raw total energy is -64.315 eV/cell. The size of the total moment comes out at 0.00 μB/cell. The calculated formation energy comes out at -85 meV per atom.



[5]
Here is an optimized crystal structure of Pr3Cd4Ag2 from the Alexandria database. Energies are from PBE-GGA.

extended XYZ file:
```
9
Lattice="4.8046 -2.6460 0.0000 4.8046 2.6460 0.0000 -1.1782 0.0000 9.1795" Properties=species:S:1:pos:R:3 pbc="T T T"
Pr 0.0000 0.0000 0.0000
Pr 3.2972 0.0000 2.5563
Pr 5.1338 0.0000 6.6233
Cd 0.1642 0.0000 3.3376
Cd 1.9635 0.0000 8.4104
Cd 6.4676 0.0000 0.7691
Cd 8.2669 0.0000 5.8419
Ag 1.9552 0.0000 5.5692
Ag 6.4759 0.0000 3.6103
```

Computed properties:
Its raw total energy is -26.161 eV/cell. The size of the total moment comes out at 0.00 μB/cell. The calculated formation energy comes out at -273 meV per atom. For the energy relative to the lowest polymorph listed for this composition, the calculation gives 48 meV/atom.



[6]
Here is an optimized crystal structure of PrCd2Ag3 from the Alexandria database. Energies are from PBE-GGA.

extended XYZ file:
```
12
Lattice="4.8633 0.0000 0.0000 -2.4317 4.2118 0.0000 0.0000 0.0000 13.1243" Properties=species:S:1:pos:R:3 pbc="T T T"
Pr 0.0000 0.0000 3.2811
Pr 0.0000 0.0000 9.8432
Cd 0.0000 2.8078 1.1594
Cd 0.0000 2.8078 5.4027
Cd 2.4317 1.4039 7.7215
Cd 2.4317 1.4039 11.9649
Ag 0.0000 0.0000 0.0000
Ag 0.0000 0.0000 6.5621
Ag 0.0000 2.8078 8.3294
Ag 0.0000 2.8078 11.3570
Ag 2.4317 1.4039 1.7673
Ag 2.4317 1.4039 4.7949
```

Computed properties:
Its raw total energy is -32.679 eV/cell. The size of the total moment comes out at 0.00 μB/cell. The calculated formation energy comes out at -196 meV per atom. For the energy relative to the lowest polymorph listed for this composition, the calculation gives 0 meV/atom.



[7]
Here is an optimized crystal structure of PrCd2Ag7 from the Alexandria database. Energies are from PBE-GGA.

extended XYZ file:
```
10
Lattice="3.3396 -9.0079 0.0000 3.3396 9.0079 0.0000 0.0000 0.0000 3.9188" Properties=species:S:1:pos:R:3 pbc="T T T"
Pr 0.0000 0.0000 0.0000
Cd 3.3396 4.3389 1.9594
Cd 3.3396 -4.3389 1.9594
Ag 1.3694 2.1719 1.9594
Ag 1.3694 -2.1719 1.9594
Ag 3.3396 2.0610 0.0000
Ag 3.3396 0.0000 1.9594
Ag 3.3396 -2.0610 0.0000
Ag 5.3098 2.1719 1.9594
Ag 5.3098 -2.1719 1.9594
```

Computed properties:
Its raw total energy is -26.043 eV/cell. The size of the total moment comes out at 0.00 μB/cell. The calculated formation energy comes out at 53 meV per atom.



[8]
Here is an optimized crystal structure of PrCd6Ag2 from the Alexandria database. Energies are from PBE-GGA.

extended XYZ file:
```
9
Lattice="7.6129 -4.3544 0.0000 7.6129 4.3544 0.0000 -0.6090 0.0000 3.1139" Properties=species:S:1:pos:R:3 pbc="T T T"
Pr 0.0000 0.0000 0.0000
Cd 2.2676 1.5272 2.0965
Cd 7.3084 1.4310 1.5569
Cd 2.2676 -1.5272 2.0965
Cd 12.3491 1.5272 1.0174
Cd 7.3084 -1.4310 1.5569
Cd 12.3491 -1.5272 1.0174
Ag 4.8407 0.0000 2.6880
Ag 9.7760 0.0000 0.4259
```

Computed properties:
Its raw total energy is -16.643 eV/cell. The size of the total moment comes out at 0.09 μB/cell. The calculated formation energy comes out at -75 meV per atom. For the energy relative to the lowest polymorph listed for this composition, the calculation gives 53 meV/atom.



Please write out number 3 again, unchanged.
Here is an optimized crystal structure of PrCd6Ag2 from the Alexandria database. Energies are from PBE-GGA.

extended XYZ file:
```
18
Lattice="7.9452 -5.4719 0.0000 7.9452 5.4719 0.0000 0.0000 0.0000 4.8628" Properties=species:S:1:pos:R:3 pbc="T T T"
Pr 7.9452 3.3294 3.6471
Pr 7.9452 -3.3294 1.2157
Cd 1.8527 0.8490 3.6471
Cd 3.4721 1.8062 1.2157
Cd 1.8527 -0.8490 1.2157
Cd 6.5171 1.5193 1.2157
Cd 3.4721 -1.8062 3.6471
Cd 9.3732 1.5193 1.2157
Cd 6.5171 -1.5193 3.6471
Cd 12.4182 1.8062 1.2157
Cd 9.3732 -1.5193 3.6471
Cd 14.0376 0.8490 3.6471
Cd 12.4182 -1.8062 3.6471
Cd 14.0376 -0.8490 1.2157
Ag 5.0110 0.8696 3.6471
Ag 5.0110 -0.8696 1.2157
Ag 10.8793 0.8696 3.6471
Ag 10.8793 -0.8696 1.2157
```

Computed properties:
Its raw total energy is -34.243 eV/cell. The size of the total moment comes out at 0.00 μB/cell. The calculated formation energy comes out at -128 meV per atom. For the energy relative to the lowest polymorph listed for this composition, the calculation gives 0 meV/atom.



Repeat the fourth record exactly.
Here is an optimized crystal structure of Pr12Cd3Ag from the Alexandria database. Energies are from PBE-GGA.

extended XYZ file:
```
16
Lattice="5.0154 0.0000 0.0000 0.0000 5.0154 0.0000 0.0000 0.0000 20.0824" Properties=species:S:1:pos:R:3 pbc="T T T"
Pr 0.0000 0.0000 0.0000
Pr 0.0000 0.0000 4.9785
Pr 0.0000 0.0000 10.0412
Pr 0.0000 0.0000 15.1039
Pr 0.0000 2.5077 2.4755
Pr 0.0000 2.5077 7.5186
Pr 0.0000 2.5077 12.5638
Pr 0.0000 2.5077 17.6069
Pr 2.5077 0.0000 2.4755
Pr 2.5077 0.0000 7.5186
Pr 2.5077 0.0000 12.5638
Pr 2.5077 0.0000 17.6069
Cd 2.5077 2.5077 5.0014
Cd 2.5077 2.5077 10.0412
Cd 2.5077 2.5077 15.0810
Ag 2.5077 2.5077 0.0000
```

Computed properties:
Its raw total energy is -64.315 eV/cell. The size of the total moment comes out at 0.00 μB/cell. The calculated formation energy comes out at -85 meV per atom.



Among the records above, which one has the lowest calculated formation energy? Pr3Cd4Ag2